No. 1
Er5Tm2Th3 after structural relaxation, computed with PBE-GGA. Values from VASP.

```
&SYSTEM
  ibrav = 0, nat = 10, ntyp = 3
/
ATOMIC_SPECIES
Er 167.26 Er.upf
Th 232.04 Th.upf
Tm 168.93 Tm.upf
CELL_PARAMETERS angstrom
4.885 0.000 1.084
1.824 4.751 3.330
-0.270 -0.888 12.768
ATOMIC_POSITIONS angstrom
Er 0.000 0.000 0.000
Er 0.813 -0.533 7.886
Er 2.136 1.576 13.477
Er 5.626 4.396 9.296
Er 4.304 2.287 3.706
Th 3.220 1.931 8.591
Th 1.322 2.127 5.595
Th 5.118 1.736 11.588
Tm 2.713 -0.683 10.872
Tm 3.726 4.546 6.310
```



No. 2
Er6TmTh3 after structural relaxation, computed with PBE-GGA. Values from VASP.

```
&SYSTEM
  ibrav = 0, nat = 10, ntyp = 3
/
ATOMIC_SPECIES
Er 167.26 Er.upf
Th 232.04 Th.upf
Tm 168.93 Tm.upf
CELL_PARAMETERS angstrom
8.629 0.000 4.579
3.100 8.053 4.579
2.139 1.469 6.389
ATOMIC_POSITIONS angstrom
Er 7.627 7.216 9.959
Er 8.435 1.828 8.424
Er 6.434 2.432 5.269
Er 5.606 7.795 6.784
Er 3.700 4.526 6.895
Er 10.327 5.131 8.318
Th 2.666 1.831 5.396
Th 7.472 5.130 6.760
Th 6.138 4.215 9.273
Tm 10.933 7.507 10.657
```



Number 1: ΔH_f (0 K) 0.0293 eV/atom, magnetization 0.0001 μB/atom. Number 2: ΔH_f (0 K) 0.3625 eV/atom, magnetization 0.0000 μB/atom.